Below is Na2AcPb3 after structural relaxation, with properties calculated at the PBE level.

The structure in POSCAR format:
```
Na2AcPb3
1.0
-1.342 1.541 -6.059
-1.916 -7.691 -1.532
-7.671 1.436 2.065
Na Ac Pb
4 2 6
Cartesian
-4.149 -4.443 -3.585
-3.478 -5.214 -0.556
-6.109 -1.041 1.089
-6.780 -0.270 -1.941
-2.656 -1.129 -1.386
-8.273 -3.584 -4.140
-2.310 -2.156 -5.098
-4.510 1.332 -3.723
-8.618 -2.557 -0.428
-1.530 0.815 -4.515
-9.399 -5.528 -1.011
-6.419 -6.045 -1.803
```

## Properties
Volume = 34.72 Å³ per atom
Space group = Cmcm (63)
Formation energy from the elements = -93.5 kJ/mol of formula units
Total magnetic moment = 0.00 μB/f.u.

=====

Below is Ti2As2H after structural relaxation, with properties calculated at the PBE level.

The structure in POSCAR format:
```
Ti2As2H
1.0
-1.229 0.979 3.068
-6.255 -1.449 -2.044
1.265 -6.263 0.570
Ti As H
4 4 2
Cartesian
-1.919 -5.723 1.058
-0.474 -3.758 2.946
-3.276 -2.403 -0.546
-6.169 -1.443 -0.075
-4.441 -5.500 1.912
-2.708 -3.271 1.895
-5.289 -3.874 -0.883
-1.169 -1.092 -0.120
-0.009 -4.990 1.589
-4.195 -1.276 0.663
```

## Properties
Volume = 14.35 Å³ per atom
Polymorph energy (0 for the lowest one) = 0 meV/atom
Space group = Cmc2_1 (36)
Total magnetic moment = 0.00 μB/f.u.

=====

Which formula does entry 1 have?
Na2AcPb3